# 1
A geometry-optimized SmTiBr structure, computed with GGA-PBE.

Summary:
DFT total energy in eV/atom: -5.140
Uncorrected formation energy in kJ/mol of atoms: -36.5

```
data_SmTiBr
_chemical_formula_sum 'Sm4 Ti4 Br4'
_cell_length_a 12.794
_cell_length_b 3.318
_cell_length_c 7.366
_cell_angle_alpha 90.00
_cell_angle_beta 91.42
_cell_angle_gamma 90.00
_symmetry_space_group_name_H-M 'C 1 2/m 1'
_symmetry_Int_Tables_number 12
loop_
_symmetry_equiv_pos_as_xyz
'x,y,z'
'-x,-y,-z'
'-x,y,-z'
'x,-y,z'
'x+1/2,y+1/2,z'
'-x+1/2,-y+1/2,-z'
'-x+1/2,y+1/2,-z'
'x+1/2,-y+1/2,z'
loop_
_atom_site_label
_atom_site_fract_x
_atom_site_fract_y
_atom_site_fract_z
Sm1 0.073 0.000 0.200
Ti1 0.183 0.500 0.891
Br1 0.135 0.000 0.605
```

# 2
A geometry-optimized ZrHg3S structure, computed with GGA-PBE.

Summary:
Offset from the most stable computed form in meV per atom: 0
DFT total energy in eV/atom: -1.931
Uncorrected formation energy in kJ/mol of atoms: 75.7

```
data_ZrHg3S
_chemical_formula_sum 'Zr1 Hg3 S1'
_cell_length_a 5.105
_cell_length_b 5.105
_cell_length_c 5.105
_cell_angle_alpha 90.00
_cell_angle_beta 90.00
_cell_angle_gamma 90.00
_symmetry_space_group_name_H-M 'P m -3 m'
_symmetry_Int_Tables_number 221
_symmetry_space_group_name_Hall '-P 4 2 3'
loop_
_atom_site_label
_atom_site_fract_x
_atom_site_fract_y
_atom_site_fract_z
Zr1 0.000 0.000 0.000
Hg1 0.000 0.500 0.500
S1 0.500 0.500 0.500
```

# 3
A geometry-optimized AsOs2Au structure, computed with GGA-PBE.

Summary:
DFT total energy in eV/atom: -7.008

```
data_AsOs2Au
_chemical_formula_sum 'As2 Os4 Au2'
_cell_length_a 2.929
_cell_length_b 4.611
_cell_length_c 9.297
_cell_angle_alpha 90.00
_cell_angle_beta 90.00
_cell_angle_gamma 90.00
_symmetry_space_group_name_H-M 'I m m m'
_symmetry_Int_Tables_number 71
_symmetry_space_group_name_Hall '-I 2 2'
loop_
_atom_site_label
_atom_site_fract_x
_atom_site_fract_y
_atom_site_fract_z
As1 0.000 0.000 0.000
Os1 0.000 0.500 0.285
Au1 0.000 0.000 0.500
```

# 4
A geometry-optimized MnCuSiRu structure, computed with GGA-PBE.

Summary:
DFT total energy in eV/atom: -7.188
Uncorrected formation energy in kJ/mol of atoms: -19.0

```
data_MnCuSiRu
_chemical_formula_sum 'Mn4 Cu4 Si4 Ru4'
_cell_length_a 5.856
_cell_length_b 5.856
_cell_length_c 5.856
_cell_angle_alpha 90.00
_cell_angle_beta 90.00
_cell_angle_gamma 90.00
_symmetry_space_group_name_H-M 'F -4 3 m'
_symmetry_Int_Tables_number 216
_symmetry_space_group_name_Hall 'F -4 2 3'
loop_
_atom_site_label
_atom_site_fract_x
_atom_site_fract_y
_atom_site_fract_z
Mn1 0.000 0.000 0.000
Cu1 0.250 0.250 0.750
Si1 0.250 0.250 0.250
Ru1 0.000 0.000 0.500
```

# 5
A geometry-optimized FeNiBiW2 structure, computed with GGA-PBE.

Summary:
DFT total energy in eV/atom: -7.025

```
data_FeNiBiW2
_chemical_formula_sum 'Fe1 Ni1 Bi1 W2'
_cell_length_a 4.511
_cell_length_b 4.511
_cell_length_c 4.990
_cell_angle_alpha 90.00
_cell_angle_beta 90.00
_cell_angle_gamma 90.00
_symmetry_space_group_name_H-M 'P 4/m m m'
_symmetry_Int_Tables_number 123
_symmetry_space_group_name_Hall '-P 4 2'
loop_
_atom_site_label
_atom_site_fract_x
_atom_site_fract_y
_atom_site_fract_z
Fe1 0.000 0.000 0.000
Ni1 0.500 0.500 0.500
Bi1 0.500 0.500 0.000
W1 0.000 0.500 0.500
```

# 6
A geometry-optimized ZrTl2Pt structure, computed with GGA-PBE.

Summary:
Offset from the most stable computed form in meV per atom: 320
DFT total energy in eV/atom: -4.790

```
data_ZrTl2Pt
_chemical_formula_sum 'Zr2 Tl4 Pt2'
_cell_length_a 4.179
_cell_length_b 4.179
_cell_length_c 10.291
_cell_angle_alpha 90.00
_cell_angle_beta 90.00
_cell_angle_gamma 90.00
_symmetry_space_group_name_H-M 'I 4/m m m'
_symmetry_Int_Tables_number 139
_symmetry_space_group_name_Hall '-I 4 2'
loop_
_atom_site_label
_atom_site_fract_x
_atom_site_fract_y
_atom_site_fract_z
Zr1 0.000 0.000 0.000
Tl1 0.000 0.500 0.250
Pt1 0.000 0.000 0.500
```